Here is a relaxed structure of Sm2Pd3 from the Alexandria database. Energies are from GGA-PBE.

Geometry as POSCAR:
```
Sm2Pd3
1.0
2.244 1.296 6.622
-2.244 1.296 6.622
0.000 -2.592 6.622
Sm Pd
2 3
Cartesian
0.000 0.000 1.785
0.000 0.000 18.081
0.000 0.000 6.987
0.000 0.000 9.933
0.000 0.000 12.880
```

Energy relative to the elements (eV per atom): -0.723
Energy above the lowest structure with this stoichiometry (eV per formula unit): 0.00
Total energy (eV for the cell shown): -28.63

Here is a relaxed structure of Sm3Pd2 from the Alexandria database. Energies are from GGA-PBE.

Geometry as POSCAR:
```
Sm3Pd2
1.0
7.997 0.000 0.000
0.000 7.997 0.000
0.000 0.000 3.970
Sm Pd
6 4
Cartesian
0.000 0.000 0.000
1.336 2.662 1.985
2.662 6.661 1.985
3.999 3.999 0.000
5.335 1.336 1.985
6.661 5.335 1.985
1.024 5.022 0.000
2.975 1.024 0.000
5.022 6.973 0.000
6.973 2.975 0.000
```

Energy relative to the elements (eV per atom): -0.662
Energy above the lowest structure with this stoichiometry (eV per formula unit): 0.00
Total energy (eV for the cell shown): -55.71

Here is a relaxed structure of SmPd3 from the Alexandria database. Energies are from GGA-PBE.

Geometry as POSCAR:
```
SmPd3
1.0
4.174 0.000 0.000
0.000 4.174 0.000
0.000 0.000 4.174
Sm Pd
1 3
Cartesian
0.000 0.000 0.000
0.000 2.087 2.087
2.087 0.000 2.087
2.087 2.087 0.000
```

Energy relative to the elements (eV per atom): -0.803
Total energy (eV for the cell shown): -23.51

Here is a relaxed structure of Sm4Pd from the Alexandria database. Energies are from GGA-PBE.

Geometry as POSCAR:
```
Sm4Pd
1.0
5.586 0.000 0.000
0.000 5.586 0.000
0.000 0.000 5.586
Sm Pd
4 1
Cartesian
0.000 0.000 0.000
0.000 2.793 2.793
2.793 0.000 2.793
2.793 2.793 0.000
2.793 2.793 2.793
```

Energy relative to the elements (eV per atom): -0.083
Energy above the lowest structure with this stoichiometry (eV per formula unit): 0.80
Total energy (eV for the cell shown): -24.48

Here is a relaxed structure of Sm3Pd from the Alexandria database. Energies are from GGA-PBE.

Geometry as POSCAR:
```
Sm3Pd
1.0
-2.236 2.236 5.482
2.236 -2.236 5.482
2.236 2.236 -5.482
Sm Pd
3 1
Cartesian
0.000 0.000 0.000
2.236 0.000 2.741
0.000 2.236 2.741
0.000 0.000 5.482
```

Energy relative to the elements (eV per atom): -0.148
Energy above the lowest structure with this stoichiometry (eV per formula unit): 1.05
Total energy (eV for the cell shown): -19.94

Here is a relaxed structure of Sm10Pd21 from the Alexandria database. Energies are from GGA-PBE.

Geometry as POSCAR:
```
Sm10Pd21
1.0
5.859 0.000 0.000
2.922 12.598 0.000
0.005 0.248 16.718
Sm Pd
20 42
Cartesian
1.464 5.521 4.680
1.468 4.747 16.398
1.467 2.682 8.668
1.465 1.818 13.421
1.465 0.673 1.312
4.387 12.355 5.872
4.392 10.102 10.771
4.391 9.500 14.531
4.386 8.196 3.128
4.393 7.465 6.803
4.393 5.380 9.915
4.400 4.649 13.590
4.395 3.346 2.187
4.394 2.743 5.947
4.399 0.490 10.846
7.321 12.172 15.406
7.321 11.027 3.297
7.319 10.163 8.050
7.318 8.098 0.321
7.323 7.324 12.038
0.002 0.124 8.359
1.464 5.330 9.879
2.954 11.614 12.933
1.471 4.789 13.226
3.016 10.479 0.771
1.466 3.409 2.680
2.920 9.589 5.411
1.464 2.827 5.611
2.894 7.867 9.382
2.902 6.918 14.761
1.468 0.455 10.782
2.897 5.924 1.955
4.391 12.328 15.399
2.898 4.978 7.335
4.391 11.049 3.275
4.390 10.237 7.942
2.926 3.254 11.307
3.023 2.365 15.947
4.388 7.801 0.286
2.957 1.231 3.786
4.393 7.432 12.156
2.932 0.124 8.359
4.393 5.413 4.563
5.829 11.615 12.932
4.398 5.044 16.432
5.763 10.480 0.772
5.860 9.591 5.411
4.396 2.608 8.776
4.395 1.796 13.443
5.888 7.867 9.384
4.395 0.517 1.319
5.889 6.921 14.763
7.318 12.390 5.937
5.884 5.927 1.957
5.892 4.978 7.336
7.322 10.018 11.107
5.866 3.256 11.307
7.320 9.436 14.038
5.770 2.366 15.947
7.315 8.057 3.492
5.832 1.231 3.786
7.322 7.516 6.840
```

Energy relative to the elements (eV per atom): -0.841
Total energy (eV for the cell shown): -364.65

Here is a relaxed structure of Sm3Pd from the Alexandria database. Energies are from GGA-PBE.

Geometry as POSCAR:
```
Sm3Pd
1.0
1.935 -6.154 0.000
1.935 6.154 0.000
0.000 0.000 9.712
Sm Pd
6 2
Cartesian
1.935 5.292 7.284
1.935 1.667 5.444
1.935 1.667 9.124
1.935 -1.667 0.588
1.935 -1.667 4.268
1.935 -5.292 2.428
1.935 3.286 2.428
1.935 -3.286 7.284
```

Energy relative to the elements (eV per atom): -0.409
Energy above the lowest structure with this stoichiometry (eV per formula unit): 0.00
Total energy (eV for the cell shown): -41.97

Here is a relaxed structure of SmPd3 from the Alexandria database. Energies are from GGA-PBE.

Geometry as POSCAR:
```
SmPd3
1.0
0.000 3.344 3.344
3.344 0.000 3.344
3.344 3.344 0.000
Sm Pd
1 3
Cartesian
0.000 0.000 0.000
1.672 1.672 1.672
3.344 3.344 3.344
5.016 5.016 5.016
```

Energy relative to the elements (eV per atom): -0.644
Total energy (eV for the cell shown): -22.87